## VCl2O (GGA+U)

Data for a geometry-optimized VCl2O structure.

Its final energy is -5.17 eV/atom. Its total moment is 0.24 μB per atom. Its symmetry is I-42d, No. 122.

Lattice parameters (Å, degrees): 9.1540 9.1540 6.7243 47.10 47.10 90.00
Last column: nearest neighbours and their distance in Å.
Atoms (fractional coordinates):
Cl 0.7865 0.1250 0.2500  2 V 2.47
Cl 0.3750 0.2135 0.7500  2 V 2.47
Cl 0.9635 0.6250 0.2500  2 V 2.47
Cl 0.8750 0.0365 0.7500  2 V 2.47
O 0.5000 0.5000 0.0000  2 V 1.82
O 0.2500 0.7500 0.5000  2 V 1.82
V 0.0000 0.0000 0.0000  2 O 1.82
V 0.7500 0.2500 0.5000  2 O 1.82